# 1
A plane-wave DFT calculation with PBE-GGA was carried out for a relaxed Dy5Ge5Ir2 crystal.

Values from the calculation:
The symmetry is C2/m (12). As for the formation energy: -0.802 eV/atom.

a b c (Å): 7.8458 7.8458 10.9298
angles (deg): 129.17 129.17 31.22
With the nearest neighbours (Å) after each atom.
Positions (direct):
Dy 0.0000 0.0000 0.0000  6 Ge 3.00-3.25, 4 Ir 3.01
Dy 0.1171 0.1171 0.4206  3 Ir 2.96, 7 Ge 3.07-3.22
Dy 0.1967 0.1967 0.8249  5 Ge 2.89-3.06, 1 Ir 3.07
Dy 0.8033 0.8033 0.1751  5 Ge 2.89-3.06, 1 Ir 3.07
Dy 0.8829 0.8829 0.5794  3 Ir 2.96, 7 Ge 3.07-3.22
Ge 0.2534 0.2534 0.3022  2 Ir 2.52
Ge 0.4405 0.4405 0.1632  1 Ir 2.53
Ge 0.5000 0.5000 0.5000  4 Ge 2.83-3.17
Ge 0.5595 0.5595 0.8368  1 Ir 2.53
Ge 0.7466 0.7466 0.6978  2 Ir 2.52
Ir 0.3557 0.3557 0.7423  3 Ge 2.52-2.53
Ir 0.6443 0.6443 0.2577  3 Ge 2.52-2.53

---

# 2
A plane-wave DFT calculation with PBE-GGA was carried out for a relaxed BaNb2AlAg crystal.

Values from the calculation:
The symmetry is P4/mmm (123). As for the formation energy: 1.169 eV/atom.

a b c (Å): 5.2913 5.2913 4.8213
angles (deg): 90.00 90.00 90.00
With the nearest neighbours (Å) after each atom.
Positions (direct):
Ba 0.0000 0.0000 0.0000  8 Nb 3.58, 4 Al 3.74
Nb 0.0000 0.5000 0.5000  2 Ag 2.65
Nb 0.5000 0.0000 0.5000  2 Ag 2.65
Al 0.5000 0.5000 0.0000  2 Ag 2.41
Ag 0.5000 0.5000 0.5000  2 Al 2.41, 4 Nb 2.65

---

# 3
A plane-wave DFT calculation with PBE-GGA was carried out for a relaxed LiAc2Ga4Au3 crystal.

Values from the calculation:
The symmetry is P-4m2 (115). As for the formation energy: -0.628 eV/atom.

a b c (Å): 4.5535 4.5535 10.6856
angles (deg): 90.00 90.00 90.00
With the nearest neighbours (Å) after each atom.
Positions (direct):
Li 0.0000 0.0000 0.0000  4 Ga 2.65
Ac 0.0000 0.5000 0.7505  6 Au 3.46-3.51, 8 Ga 3.48-3.51, 2 Li 3.51
Ac 0.5000 0.0000 0.2495  6 Au 3.46-3.51, 8 Ga 3.48-3.51, 2 Li 3.51
Ga 0.0000 0.0000 0.5000  4 Au 2.67
Ga 0.0000 0.5000 0.1268  3 Au 2.59-2.65, 2 Li 2.65
Ga 0.5000 0.0000 0.8732  3 Au 2.59-2.65, 2 Li 2.65
Ga 0.5000 0.5000 0.5000  4 Au 2.67
Au 0.0000 0.5000 0.3691  5 Ga 2.59-2.67
Au 0.5000 0.0000 0.6309  5 Ga 2.59-2.67
Au 0.5000 0.5000 0.0000  4 Ga 2.65

---

# 4
A plane-wave DFT calculation with PBE-GGA was carried out for a relaxed BaSr2Br crystal.

Values from the calculation:
The symmetry is Pm (6).

a b c (Å): 4.3230 4.1967 11.4763
angles (deg): 90.00 90.56 90.00
With the nearest neighbours (Å) after each atom.
Positions (direct):
Ba 0.0000 0.0000 0.0000  2 Br 3.38
Sr 0.0148 0.0000 0.5579  2 Br 3.21
Sr 0.5066 0.5000 0.2881  8 Sr 4.20-4.32, 4 Ba 4.47
Br 0.0172 0.5000 0.7695  2 Sr 3.21, 2 Ba 3.38

---

# 5
A plane-wave DFT calculation with PBE-GGA was carried out for a relaxed CuBMo3 crystal.

Values from the calculation:
The symmetry is Pm-3m (221). As for the formation energy: 0.374 eV/atom.

a b c (Å): 4.1605 4.1605 4.1605
angles (deg): 90.00 90.00 90.00
With the nearest neighbours (Å) after each atom.
Positions (direct):
Cu 0.0000 0.0000 0.0000  12 Mo 2.94
B 0.5000 0.5000 0.5000  6 Mo 2.08
Mo 0.0000 0.5000 0.5000  2 B 2.08
Mo 0.5000 0.0000 0.5000  2 B 2.08
Mo 0.5000 0.5000 0.0000  2 B 2.08

---

# 6
A plane-wave DFT calculation with PBE-GGA was carried out for a relaxed PrPaRu2 crystal.

Values from the calculation:
The symmetry is P4/mmm (123). As for the formation energy: -0.375 eV/atom.

a b c (Å): 3.4216 3.4216 7.3385
angles (deg): 90.00 90.00 90.00
With the nearest neighbours (Å) after each atom.
Positions (direct):
Pr 0.0000 0.0000 0.0000  8 Ru 3.28, 4 Pr 3.42
Pa 0.0000 0.0000 0.5000  8 Ru 2.83
Ru 0.5000 0.5000 0.3008  4 Pa 2.83, 1 Ru 2.92
Ru 0.5000 0.5000 0.6992  4 Pa 2.83, 1 Ru 2.92

---

# 7
A plane-wave DFT calculation with PBE-GGA was carried out for a relaxed PuMgSiHg crystal.

Values from the calculation:
The symmetry is F-43m (216).

a b c (Å): 4.9808 4.9808 4.9808
angles (deg): 60.00 60.00 60.00
With the nearest neighbours (Å) after each atom.
Positions (direct):
Pu 0.0000 0.0000 0.0000  4 Si 3.05, 4 Hg 3.05
Mg 0.5000 0.5000 0.5000  4 Si 3.05, 4 Hg 3.05
Si 0.7500 0.7500 0.7500  4 Pu 3.05, 4 Mg 3.05
Hg 0.2500 0.2500 0.2500  4 Mg 3.05, 4 Pu 3.05

---

# 8
A plane-wave DFT calculation with PBE-GGA was carried out for a relaxed K2TlCd12Ag3 crystal.

Values from the calculation:
The symmetry is R-3m (166). As for the formation energy: 0.184 eV/atom.

a b c (Å): 8.6419 8.6419 8.6419
angles (deg): 72.23 72.23 72.23
With the nearest neighbours (Å) after each atom.
Positions (direct):
K 0.0973 0.0973 0.0973  6 Cd 3.30-3.55, 1 K 3.70
K 0.9027 0.9027 0.9027  6 Cd 3.30-3.55, 1 K 3.70
Tl 0.5000 0.5000 0.5000  6 Cd 3.10
Cd 0.1307 0.6523 0.6523  1 Ag 2.76
Cd 0.1989 0.1989 0.6541  2 Ag 2.84
Cd 0.1989 0.6541 0.1989  2 Ag 2.84
Cd 0.3459 0.8011 0.8011  2 Ag 2.84
Cd 0.3477 0.3477 0.8693  1 Ag 2.76
Cd 0.3477 0.8693 0.3477  1 Ag 2.76
Cd 0.6523 0.1307 0.6523  1 Ag 2.76
Cd 0.6523 0.6523 0.1307  1 Ag 2.76
Cd 0.6541 0.1989 0.1989  2 Ag 2.84
Cd 0.8011 0.3459 0.8011  2 Ag 2.84
Cd 0.8011 0.8011 0.3459  2 Ag 2.84
Cd 0.8693 0.3477 0.3477  1 Ag 2.76
Ag 0.0000 0.5000 0.5000  6 Cd 2.76-2.84
Ag 0.5000 0.0000 0.5000  6 Cd 2.76-2.84
Ag 0.5000 0.5000 0.0000  6 Cd 2.76-2.84

---

Number 1: final energy -6.120 eV per atom, ρ 9.8 g/cm³. Number 2: final energy -4.562 eV per atom, ρ 5.6 g/cm³. Number 3: final energy -3.835 eV per atom, ρ 10.0 g/cm³. Number 4: final energy -2.432 eV per atom, ρ 3.1 g/cm³. Number 5: final energy -8.280 eV per atom, ρ 8.4 g/cm³. Number 6: final energy -8.581 eV per atom, ρ 11.1 g/cm³. Number 7: final energy -5.588 eV per atom, ρ 9.4 g/cm³. Number 8: final energy -1.155 eV per atom, ρ 5.7 g/cm³.